A crystal of CoBiO3 relaxed with PBEsol. Source: Alexandria, functional meta-GGA SCAN.

Properties
The calculation puts the calculated volume at 11.2 Å³/atom. As for the formation energy from raw total energies: -1.18 eV per atom.

The structure in POSCAR format:
```
CoBiO3
1.0
3.675 0.000 0.000
0.000 3.675 0.000
0.000 0.000 4.134
Co Bi O
1 1 3
direct
0.500 0.500 0.387 Co
0.000 0.000 0.950 Bi
0.500 0.500 0.831 O
0.000 0.500 0.302 O
0.500 0.000 0.302 O
```